(1)
# SrTaH PBE optimized geometry
data_SrTaH
_chemical_formula_sum 'Sr4 Ta4 H4'
_space_group_name_H-M_alt 'C 1 m 1'
_space_group_IT_number 8
_space_group_name_Hall 'C -2y'
_cell_length_a 19.6874
_cell_length_b 3.4886
_cell_length_c 3.7499
_cell_angle_alpha 90.00
_cell_angle_beta 100.61
_cell_angle_gamma 90.00
loop_
_atom_site_label
_atom_site_type_symbol
_atom_site_fract_x
_atom_site_fract_y
_atom_site_fract_z
_atom_site_occupancy
Sr1 Sr 0.0000 0.0000 0.0000 1
Sr2 Sr 0.1961 0.0000 0.2078 1
Ta1 Ta 0.3227 0.5000 0.8296 1
Ta2 Ta 0.3743 0.0000 0.3793 1
H1 H 0.0952 0.5000 0.1028 1
H2 H 0.4768 0.0000 0.4778 1
# ΔE to the lowest computed polymorph   0.1118 eV/atom
# V   253.1 Å³/cell
# Crystal system   monoclinic
# Density of states at the Fermi level   0.701 states/eV/atom
# Final energy   -5.549 eV/atom

(2)
# Sr3TaH PBE optimized geometry
data_Sr3TaH
_chemical_formula_sum 'Sr3 Ta1 H1'
_space_group_name_H-M_alt 'P m -3 m'
_space_group_IT_number 221
_space_group_name_Hall '-P 4 2 3'
_cell_length_a 5.9601
_cell_length_b 5.9601
_cell_length_c 5.9601
_cell_angle_alpha 90.00
_cell_angle_beta 90.00
_cell_angle_gamma 90.00
loop_
_atom_site_label
_atom_site_type_symbol
_atom_site_fract_x
_atom_site_fract_y
_atom_site_fract_z
_atom_site_occupancy
Sr1 Sr 0.0000 0.0000 0.5000 1
Ta1 Ta 0.0000 0.0000 0.0000 1
H1 H 0.5000 0.5000 0.5000 1
# ΔE to the lowest computed polymorph   0.7624 eV/atom
# V   211.7 Å³/cell
# Crystal system   cubic
# Density of states at the Fermi level   0.976 states/eV/atom
# Final energy   -2.736 eV/atom

(3)
# SrTaH PBE optimized geometry
data_SrTaH
_chemical_formula_sum 'Sr4 Ta4 H4'
_space_group_name_H-M_alt 'F -4 3 m'
_space_group_IT_number 216
_space_group_name_Hall 'F -4 2 3'
_cell_length_a 7.2572
_cell_length_b 7.2572
_cell_length_c 7.2572
_cell_angle_alpha 90.00
_cell_angle_beta 90.00
_cell_angle_gamma 90.00
loop_
_atom_site_label
_atom_site_type_symbol
_atom_site_fract_x
_atom_site_fract_y
_atom_site_fract_z
_atom_site_occupancy
Sr1 Sr 0.0000 0.0000 0.0000 1
Ta1 Ta 0.2500 0.2500 0.2500 1
H1 H 0.0000 0.0000 0.5000 1
# ΔE to the lowest computed polymorph   2.2893 eV/atom
# V   382.2 Å³/cell
# Crystal system   cubic
# Density of states at the Fermi level   1.885 states/eV/atom
# Final energy   -3.371 eV/atom

(4)
# SrTaH PBE optimized geometry
data_SrTaH
_chemical_formula_sum 'Sr2 Ta2 H2'
_space_group_name_H-M_alt 'P 63/m m c'
_space_group_IT_number 194
_space_group_name_Hall '-P 6c 2c'
_cell_length_a 5.4171
_cell_length_b 5.4171
_cell_length_c 6.5073
_cell_angle_alpha 90.00
_cell_angle_beta 90.00
_cell_angle_gamma 120.00
loop_
_atom_site_label
_atom_site_type_symbol
_atom_site_fract_x
_atom_site_fract_y
_atom_site_fract_z
_atom_site_occupancy
Sr1 Sr 0.3333 0.6667 0.2500 1
Ta1 Ta 0.3333 0.6667 0.7500 1
H1 H 0.0000 0.0000 0.0000 1
# ΔE to the lowest computed polymorph   2.1521 eV/atom
# V   165.4 Å³/cell
# Crystal system   hexagonal
# Density of states at the Fermi level   0.892 states/eV/atom
# Final energy   -3.509 eV/atom

(5)
# SrTaH PBE optimized geometry
data_SrTaH
_chemical_formula_sum 'Sr2 Ta2 H2'
_space_group_name_H-M_alt 'P 63/m m c'
_space_group_IT_number 194
_space_group_name_Hall '-P 6c 2c'
_cell_length_a 5.3052
_cell_length_b 5.3052
_cell_length_c 6.6454
_cell_angle_alpha 90.00
_cell_angle_beta 90.00
_cell_angle_gamma 120.00
loop_
_atom_site_label
_atom_site_type_symbol
_atom_site_fract_x
_atom_site_fract_y
_atom_site_fract_z
_atom_site_occupancy
Sr1 Sr 0.3333 0.6667 0.2500 1
Ta1 Ta 0.3333 0.6667 0.7500 1
H1 H 0.0000 0.0000 0.2500 1
# ΔE to the lowest computed polymorph   2.0763 eV/atom
# V   162.0 Å³/cell
# Crystal system   hexagonal
# Density of states at the Fermi level   0.778 states/eV/atom
# Final energy   -3.584 eV/atom

(6)
# SrTaH PBE optimized geometry
data_SrTaH
_chemical_formula_sum 'Sr4 Ta4 H4'
_space_group_name_H-M_alt 'C 1 m 1'
_space_group_IT_number 8
_space_group_name_Hall 'C -2y'
_cell_length_a 18.8901
_cell_length_b 3.4969
_cell_length_c 3.8050
_cell_angle_alpha 90.00
_cell_angle_beta 90.66
_cell_angle_gamma 90.00
loop_
_atom_site_label
_atom_site_type_symbol
_atom_site_fract_x
_atom_site_fract_y
_atom_site_fract_z
_atom_site_occupancy
Sr1 Sr 0.0000 0.0000 0.0000 1
Sr2 Sr 0.1831 0.0000 0.5247 1
Ta1 Ta 0.3147 0.5000 0.0468 1
Ta2 Ta 0.3661 0.0000 0.5421 1
H1 H 0.1127 0.5000 0.0074 1
H2 H 0.3969 0.5000 0.3495 1
# ΔE to the lowest computed polymorph   0.2366 eV/atom
# V   251.3 Å³/cell
# Crystal system   monoclinic
# Density of states at the Fermi level   0.588 states/eV/atom
# Final energy   -5.424 eV/atom

(7)
# Sr2TaH PBE optimized geometry
data_Sr2TaH
_chemical_formula_sum 'Sr8 Ta4 H4'
_space_group_name_H-M_alt 'I -4 2 d'
_space_group_IT_number 122
_space_group_name_Hall 'I -4 2bw'
_cell_length_a 7.2969
_cell_length_b 7.2969
_cell_length_c 7.8218
_cell_angle_alpha 90.00
_cell_angle_beta 90.00
_cell_angle_gamma 90.00
loop_
_atom_site_label
_atom_site_type_symbol
_atom_site_fract_x
_atom_site_fract_y
_atom_site_fract_z
_atom_site_occupancy
Sr1 Sr 0.1392 0.2500 0.1250 1
Ta1 Ta 0.0000 0.0000 0.5000 1
H1 H 0.0000 0.0000 0.0000 1
# ΔE to the lowest computed polymorph   0.0000 eV/atom
# V   416.5 Å³/cell
# Crystal system   tetragonal
# Density of states at the Fermi level   0.511 states/eV/atom
# Final energy   -3.748 eV/atom

(8)
# SrTaH PBE optimized geometry
data_SrTaH
_chemical_formula_sum 'Sr2 Ta2 H2'
_space_group_name_H-M_alt 'P 1'
_space_group_IT_number 1
_space_group_name_Hall 'P 1'
_cell_length_a 4.6209
_cell_length_b 4.7204
_cell_length_c 7.9750
_cell_angle_alpha 106.34
_cell_angle_beta 90.26
_cell_angle_gamma 119.26
loop_
_atom_site_label
_atom_site_type_symbol
_atom_site_fract_x
_atom_site_fract_y
_atom_site_fract_z
_atom_site_occupancy
Sr1 Sr 0.0000 0.0000 0.0000 1
Sr2 Sr 0.1883 0.3721 0.5737 1
Ta1 Ta 0.4300 0.8530 0.2921 1
Ta2 Ta 0.7541 0.4992 0.2804 1
H1 H 0.0688 0.9594 0.2909 1
H2 H 0.5162 0.0254 0.5432 1
# ΔE to the lowest computed polymorph   0.3693 eV/atom
# V   143.5 Å³/cell
# Crystal system   triclinic
# Density of states at the Fermi level   0.453 states/eV/atom
# Final energy   -5.291 eV/atom

Question: Look up the V of the seventh one.
Answer: 416.5 Å³/cell

Question: Which of these has the lowest final energy?
Answer: number 1